Record 1
The following is a PBE-GGA calculation of a geometry-optimized SrMgZn2Ga structure, from Alexandria via LeMat-Bulk.

E = -10.20 eV for the cell shown
DOS at the Fermi energy = 1.97 states/eV/f.u.
spin magnetization = 0.00 μB/cell
energy of formation from the pure elements = -270 meV/atom

a = 6.5915 Å, b = 6.5915 Å, c = 6.5915 Å
α = 141.89°, β = 140.23°, γ = 56.26°
Closest atoms and distances in Å follow each position.
Fractional positions:
Sr (0.0000, 0.0000, 0.0000)  8 Zn 3.36-3.68, 4 Ga 3.37, 4 Mg 3.60-3.68
Mg (0.2487, 0.7487, 0.5000)  2 Zn 2.71, 2 Ga 2.74
Zn (0.3909, 0.3909, 0.0000)  1 Ga 2.58, 2 Mg 2.71, 2 Zn 2.77
Zn (0.7515, 0.2515, 0.5000)  2 Ga 2.69, 2 Zn 2.77
Ga (0.6130, 0.6130, 0.0000)  3 Zn 2.58-2.69, 2 Mg 2.74

***

Record 2
The following is a PBE-GGA calculation of a geometry-optimized TlFePd3 structure, from Alexandria via LeMat-Bulk.

E = -23.78 eV for the cell shown
DOS at the Fermi energy = 4.67 states/eV/f.u.
spin magnetization = 3.94 μB/cell
energy of formation from the pure elements = 525 meV/atom

a = 4.6860 Å, b = 4.6860 Å, c = 4.6860 Å
α = 90.00°, β = 90.00°, γ = 90.00°
Closest atoms and distances in Å follow each position.
Fractional positions:
Tl (0.0000, 0.0000, 0.0000)  12 Pd 3.31
Fe (0.5000, 0.5000, 0.5000)  6 Pd 2.34
Pd (0.0000, 0.5000, 0.5000)  2 Fe 2.34
Pd (0.5000, 0.0000, 0.5000)  2 Fe 2.34
Pd (0.5000, 0.5000, 0.0000)  2 Fe 2.34